Entry 1:
Density functional theory data (PBE) for an optimized crystal structure of Nd2SmPuSe4.

Its raw formation energy is -1772 meV per atom. The density of states at the Fermi level is 10.1 states/eV per cell. Its volume is 208.7 Å³/cell. The calculation puts the total magnetic moment at 5.9 μB per formula unit.

It has space group P2/m (No. 10), with a = 7.2692 Å, b = 4.1748 Å, c = 7.2819 Å, α = 90.00°, β = 109.19° and γ = 90.00°. The asymmetric unit holds Nd at (0.0000, 0.0000, 0.0000), Nd at (0.5000, 0.5000, 0.0000), Sm at (0.0000, 0.5000, 0.5000), Pu at (0.5000, 0.0000, 0.5000), Se at (0.2494, 0.0000, 0.7441) and Se at (0.2537, 0.5000, 0.2568).

---

Entry 2:
Density functional theory data (PBE) for an optimized crystal structure of La2Sm3Er3.

Its energy of formation from the pure elements is 0.120 eV/atom. The density of states at the Fermi level is 45.3 states/eV per cell. Its volume is 1089.6 Å³/cell. As for the energy above the most stable polymorph in this dataset: 5 kJ/mol of formula units. The calculation puts the total magnetic moment at 0.0 μB per formula unit.

It has space group Cmcm (No. 63), with a = 3.6217 Å, b = 17.7295 Å, c = 16.9692 Å, α = 90.00°, β = 90.00° and γ = 90.00°. The asymmetric unit holds La at (0.0000, 0.2185, 0.1504), Sm at (0.0000, 0.3571, 0.0146), Sm at (0.0000, 0.3922, 0.2500), Er at (0.0000, 0.0061, 0.1006) and Er at (0.0000, 0.4221, 0.7500).

---

Entry 3:
Density functional theory data (PBE) for an optimized crystal structure of Sc3AsSe.

Its raw formation energy is -1092 meV per atom. The density of states at the Fermi level is 19.1 states/eV per cell. Its volume is 447.8 Å³/cell. As for the energy above the most stable polymorph in this dataset: 49 kJ/mol of formula units. The calculation puts the total magnetic moment at 0.0 μB per formula unit.

It has space group C2/m (No. 12), with a = 15.8595 Å, b = 3.9445 Å, c = 8.3736 Å, α = 90.00°, β = 121.26° and γ = 90.00°. The asymmetric unit holds Sc at (0.0448, 0.0000, 0.3573), Sc at (0.1606, 0.5000, 0.9727), Sc at (0.2371, 0.5000, 0.6511), As at (0.1439, 0.0000, 0.7351) and Se at (0.1250, 0.5000, 0.2660).

---

Entry 4:
Density functional theory data (PBE) for an optimized crystal structure of SmPu2MoN4.

Its raw formation energy is -972 meV per atom. The density of states at the Fermi level is 42.2 states/eV per cell. Its volume is 466.5 Å³/cell. The calculation puts the total magnetic moment at 8.5 μB per formula unit.

It has space group Cmcm (No. 63), with a = 3.3975 Å, b = 11.7681 Å, c = 11.6688 Å, α = 90.00°, β = 90.00° and γ = 90.00°. The asymmetric unit holds Sm at (0.0000, 0.1136, 0.2500), Pu at (0.0000, 0.3687, 0.0450), Mo at (0.0000, 0.1478, 0.7500), N at (0.0000, 0.0000, 0.0000), N at (0.0000, 0.2650, 0.6220) and N at (0.0000, 0.4586, 0.2500).

---

Entry 5:
Density functional theory data (PBE) for an optimized crystal structure of TmPuHgRh.

Its energy of formation from the pure elements is -0.367 eV/atom. The density of states at the Fermi level is 42.1 states/eV per cell. Its volume is 363.0 Å³/cell. The calculation puts the total magnetic moment at 5.5 μB per formula unit.

It has space group F-43m (No. 216), with a = 7.1338 Å, b = 7.1338 Å, c = 7.1338 Å, α = 90.00°, β = 90.00° and γ = 90.00°. The asymmetric unit holds Tm at (0.0000, 0.0000, 0.0000), Pu at (0.0000, 0.0000, 0.5000), Hg at (0.2500, 0.2500, 0.7500) and Rh at (0.2500, 0.2500, 0.2500).

---

Entry 6:
Density functional theory data (PBE) for an optimized crystal structure of TiNb2Mo3.

Its energy of formation from the pure elements is -0.112 eV/atom. The density of states at the Fermi level is 14.7 states/eV per cell. Its volume is 198.9 Å³/cell. As for the energy above the most stable polymorph in this dataset: 0 kJ/mol of formula units. The calculation puts the total magnetic moment at 0.0 μB per formula unit.

It has space group Cmmm (No. 65), with a = 4.5482 Å, b = 13.5849 Å, c = 3.2186 Å, α = 90.00°, β = 90.00° and γ = 90.00°. The asymmetric unit holds Ti at (0.0000, 0.0000, 0.0000), Nb at (0.0000, 0.3351, 0.0000), Mo at (0.0000, 0.1662, 0.5000) and Mo at (0.0000, 0.5000, 0.5000).

---

Entry 7:
Density functional theory data (PBE) for an optimized crystal structure of SrLi2UBr8.

Its raw formation energy is -1566 meV per atom. The density of states at the Fermi level is 4.3 states/eV per cell. Its volume is 433.3 Å³/cell. The calculation puts the total magnetic moment at 2.0 μB per formula unit.

It has space group P-1 (No. 2), with a = 7.0283 Å, b = 7.3607 Å, c = 9.0172 Å, α = 71.65°, β = 89.66° and γ = 78.66°. The asymmetric unit holds Sr at (0.0000, 0.0000, 0.0000), Li at (0.4601, 0.3564, 0.1716), U at (0.0000, 0.0000, 0.5000), Br at (0.1210, 0.2179, 0.6697), Br at (0.1247, 0.2325, 0.2107), Br at (0.3590, 0.7517, 0.5569) and Br at (0.3923, 0.7258, 0.0594).

---

Entry 8:
Density functional theory data (PBE) for an optimized crystal structure of Pr5Dy2Y4.

Its energy of formation from the pure elements is 0.206 eV/atom. The density of states at the Fermi level is 37.0 states/eV per cell. Its volume is 783.2 Å³/cell. As for the energy above the most stable polymorph in this dataset: 142 kJ/mol of formula units. The calculation puts the total magnetic moment at 0.0 μB per formula unit.

It has space group Immm (No. 71), with a = 3.5630 Å, b = 9.2466 Å, c = 23.7733 Å, α = 90.00°, β = 90.00° and γ = 90.00°. The asymmetric unit holds Pr at (0.0000, 0.0000, 0.0000), Pr at (0.0000, 0.2991, 0.3526), Dy at (0.0000, 0.5000, 0.2308), Y at (0.0000, 0.1872, 0.5000) and Y at (0.0000, 0.5000, 0.0975).

---

Entry 9:
Density functional theory data (PBE) for an optimized crystal structure of AcRe4Si2.

Its raw formation energy is -361 meV per atom. The density of states at the Fermi level is 11.3 states/eV per cell. Its volume is 253.8 Å³/cell. The calculation puts the total magnetic moment at 0.0 μB per formula unit.

It has space group Cmmm (No. 65), with a = 4.2321 Å, b = 14.2964 Å, c = 4.1941 Å, α = 90.00°, β = 90.00° and γ = 90.00°. The asymmetric unit holds Ac at (0.0000, 0.0000, 0.0000), Re at (0.0000, 0.1923, 0.5000), Re at (0.0000, 0.3017, 0.0000) and Si at (0.0000, 0.4056, 0.5000).

---

Entry 10:
Density functional theory data (PBE) for an optimized crystal structure of Nd5Ga3.

Its energy of formation from the pure elements is -0.442 eV/atom. The density of states at the Fermi level is 33.3 states/eV per cell. Its volume is 906.1 Å³/cell. As for the energy above the most stable polymorph in this dataset: 10 kJ/mol of formula units. The calculation puts the total magnetic moment at 0.0 μB per formula unit.

It has space group I4/mcm (No. 140), with a = 7.8423 Å, b = 7.8423 Å, c = 14.7327 Å, α = 90.00°, β = 90.00° and γ = 90.00°. The asymmetric unit holds Nd at (0.0000, 0.0000, 0.0000), Nd at (0.1739, 0.3261, 0.1491), Ga at (0.0000, 0.0000, 0.2500) and Ga at (0.1173, 0.3827, 0.5000).

---

Entry 11:
Density functional theory data (PBE) for an optimized crystal structure of NaIrCl3.

Its raw formation energy is -537 meV per atom. The density of states at the Fermi level is 3.3 states/eV per cell. Its volume is 115.7 Å³/cell. As for the energy above the most stable polymorph in this dataset: 0 kJ/mol of formula units. The calculation puts the total magnetic moment at 0.0 μB per formula unit.

It has space group Pm-3m (No. 221), with a = 4.8733 Å, b = 4.8733 Å, c = 4.8733 Å, α = 90.00°, β = 90.00° and γ = 90.00°. The asymmetric unit holds Na at (0.0000, 0.0000, 0.0000), Ir at (0.5000, 0.5000, 0.5000) and Cl at (0.0000, 0.5000, 0.5000).

---

Entry 12:
Density functional theory data (PBE) for an optimized crystal structure of CsLi2AgCl4.

Its raw formation energy is -1451 meV per atom. The density of states at the Fermi level is 0.0 states/eV per cell. Its volume is 454.3 Å³/cell. The calculation puts the total magnetic moment at 0.0 μB per formula unit.

It has space group I222 (No. 23), with a = 6.5288 Å, b = 6.5432 Å, c = 10.6353 Å, α = 90.00°, β = 90.00° and γ = 90.00°. The asymmetric unit holds Cs at (0.0000, 0.0000, 0.0000), Li at (0.0000, 0.5000, 0.2497), Ag at (0.0000, 0.0000, 0.5000) and Cl at (0.2024, 0.2026, 0.6726).

---

Entry 13:
Density functional theory data (PBE) for an optimized crystal structure of Na2HoThSe4.

Its raw formation energy is -1579 meV per atom. The density of states at the Fermi level is 4.0 states/eV per cell. Its volume is 211.6 Å³/cell. The calculation puts the total magnetic moment at 0.0 μB per formula unit.

It has space group P2/m (No. 10), with a = 7.2080 Å, b = 4.1312 Å, c = 7.4911 Å, α = 90.00°, β = 108.42° and γ = 90.00°. The asymmetric unit holds Na at (0.0000, 0.0000, 0.0000), Na at (0.5000, 0.5000, 0.0000), Ho at (0.0000, 0.5000, 0.5000), Th at (0.5000, 0.0000, 0.5000), Se at (0.2393, 0.0000, 0.7328) and Se at (0.2455, 0.5000, 0.2595).

---

Entry 14:
Density functional theory data (PBE) for an optimized crystal structure of PmCuGe2Pt.

Its energy of formation from the pure elements is -0.712 eV/atom. The density of states at the Fermi level is 5.2 states/eV per cell. Its volume is 185.1 Å³/cell. The calculation puts the total magnetic moment at 0.0 μB per formula unit.

It has space group I-4m2 (No. 119), with a = 4.2209 Å, b = 4.2209 Å, c = 10.3871 Å, α = 90.00°, β = 90.00° and γ = 90.00°. The asymmetric unit holds Pm at (0.0000, 0.0000, 0.0000), Cu at (0.0000, 0.5000, 0.7500), Ge at (0.0000, 0.0000, 0.3798) and Pt at (0.0000, 0.5000, 0.2500).

---

Entry 15:
Density functional theory data (PBE) for an optimized crystal structure of CdSiAg2.

Its raw formation energy is 206 meV per atom. The density of states at the Fermi level is 2.5 states/eV per cell. Its volume is 145.8 Å³/cell. As for the energy above the most stable polymorph in this dataset: 32 kJ/mol of formula units. The calculation puts the total magnetic moment at 0.0 μB per formula unit.

It has space group I-4m2 (No. 119), with a = 4.1257 Å, b = 4.1257 Å, c = 8.5646 Å, α = 90.00°, β = 90.00° and γ = 90.00°. The asymmetric unit holds Cd at (0.0000, 0.0000, 0.0000), Si at (0.0000, 0.5000, 0.2500), Ag at (0.0000, 0.0000, 0.5000) and Ag at (0.0000, 0.5000, 0.7500).

---

Entry 16:
Density functional theory data (PBE) for an optimized crystal structure of BaY2Co2.

Its energy of formation from the pure elements is 0.208 eV/atom. The density of states at the Fermi level is 9.7 states/eV per cell. Its volume is 239.7 Å³/cell. As for the energy above the most stable polymorph in this dataset: 27 kJ/mol of formula units. The calculation puts the total magnetic moment at 0.5 μB per formula unit.

It has space group P4/mbm (No. 127), with a = 8.2096 Å, b = 8.2096 Å, c = 3.5559 Å, α = 90.00°, β = 90.00° and γ = 90.00°. The asymmetric unit holds Ba at (0.0000, 0.0000, 0.0000), Y at (0.1415, 0.3585, 0.5000) and Co at (0.1370, 0.6370, 0.0000).

---

Entry 17:
Density functional theory data (PBE) for an optimized crystal structure of Ba3PaNi2S6.

Its raw formation energy is -1372 meV per atom. The density of states at the Fermi level is 6.0 states/eV per cell. Its volume is 363.9 Å³/cell. The calculation puts the total magnetic moment at 1.0 μB per formula unit.

It has space group P-3m1 (No. 164), with a = 7.2670 Å, b = 7.2670 Å, c = 7.9563 Å, α = 90.00°, β = 90.00° and γ = 120.00°. The asymmetric unit holds Ba at (0.0000, 0.0000, 0.0000), Ba at (0.3333, 0.6667, 0.6366), Pa at (0.0000, 0.0000, 0.5000), Ni at (0.3333, 0.6667, 0.2481) and S at (0.1662, 0.3324, 0.2975).

---

Entry 18:
Density functional theory data (PBE) for an optimized crystal structure of SrZnSbI2.

Its raw formation energy is -144 meV per atom. The density of states at the Fermi level is 4.7 states/eV per cell. Its volume is 276.3 Å³/cell. As for the energy above the most stable polymorph in this dataset: 127 kJ/mol of formula units. The calculation puts the total magnetic moment at 2.3 μB per formula unit.

It has space group P4/mmm (No. 123), with a = 6.3333 Å, b = 6.3333 Å, c = 6.8873 Å, α = 90.00°, β = 90.00° and γ = 90.00°. The asymmetric unit holds Sr at (0.0000, 0.0000, 0.0000), Zn at (0.5000, 0.5000, 0.5000), Sb at (0.0000, 0.0000, 0.5000) and I at (0.0000, 0.5000, 0.0000).

---

Entry 19:
Density functional theory data (PBE) for an optimized crystal structure of Y2Ho2ErSc.

Its energy of formation from the pure elements is 0.273 eV/atom. The density of states at the Fermi level is 17.4 states/eV per cell. Its volume is 370.9 Å³/cell. The calculation puts the total magnetic moment at 0.0 μB per formula unit.

It has space group Pnnm (No. 58), with a = 6.4568 Å, b = 17.3214 Å, c = 3.3160 Å, α = 90.00°, β = 90.00° and γ = 90.00°. The asymmetric unit holds Y at (0.2459, 0.1817, 0.0000), Ho at (0.2444, 0.3551, 0.5000), Er at (0.0000, 0.5000, 0.0000) and Sc at (0.0000, 0.0000, 0.0000).

---

Entry 20:
Density functional theory data (PBE) for an optimized crystal structure of PmPrY6Ho2.

Its energy of formation from the pure elements is 0.121 eV/atom. The density of states at the Fermi level is 51.4 states/eV per cell. Its volume is 1319.5 Å³/cell. The calculation puts the total magnetic moment at 0.0 μB per formula unit.

It has space group C2/c (No. 15), with a = 9.4542 Å, b = 15.4829 Å, c = 9.0165 Å, α = 90.00°, β = 91.18° and γ = 90.00°. The asymmetric unit holds Pm at (0.0000, 0.0652, 0.2500), Pr at (0.0000, 0.4436, 0.7500), Y at (0.0695, 0.3479, 0.4316), Y at (0.0791, 0.1418, 0.5844), Y at (0.2487, 0.2778, 0.8173) and Ho at (0.2471, 0.0516, 0.9358).